Record 1
First-principles (PBE-GGA) data for a geometry-optimized Y3ZnCo structure, as listed in Alexandria via LeMat-Bulk.

Structure (CIF):
```
data_Y3ZnCo
_chemical_formula_sum 'Y3 Zn1 Co1'
_cell_length_a 5.154
_cell_length_b 5.154
_cell_length_c 5.154
_cell_angle_alpha 90.00
_cell_angle_beta 90.00
_cell_angle_gamma 90.00
_symmetry_space_group_name_H-M 'P m -3 m'
_symmetry_Int_Tables_number 221
_symmetry_space_group_name_Hall '-P 4 2 3'
loop_
_atom_site_label
_atom_site_fract_x
_atom_site_fract_y
_atom_site_fract_z
Y1 0.000 0.000 0.500
Zn1 0.500 0.500 0.500
Co1 0.000 0.000 0.000
```

Calculated values
DFT formation energy = 8 meV per atom
total magnetization = 0.0 Bohr magnetons per cell
calculated total energy = -5.546 eV per atom
energy above the lowest structure with this stoichiometry = 210.7 meV per atom

=====

Record 2
First-principles (PBE-GGA) data for a geometry-optimized YZn2Co9 structure, as listed in Alexandria via LeMat-Bulk.

Structure (CIF):
```
data_YZn2Co9
_chemical_formula_sum 'Y2 Zn4 Co18'
_cell_length_a 8.032
_cell_length_b 8.032
_cell_length_c 4.769
_cell_angle_alpha 90.00
_cell_angle_beta 90.00
_cell_angle_gamma 90.00
_symmetry_space_group_name_H-M 'P 4/m b m'
_symmetry_Int_Tables_number 127
_symmetry_space_group_name_Hall '-P 4 2ab'
loop_
_atom_site_label
_atom_site_fract_x
_atom_site_fract_y
_atom_site_fract_z
Y1 0.000 0.000 0.000
Zn1 0.119 0.381 0.000
Co1 0.000 0.500 0.500
Co2 0.069 0.211 0.500
Co3 0.178 0.678 0.236
```

Calculated values
DFT formation energy = -91 meV per atom
total magnetization = 24.7 Bohr magnetons per cell
calculated total energy = -6.171 eV per atom

=====

Record 3
First-principles (PBE-GGA) data for a geometry-optimized YZnCo3 structure, as listed in Alexandria via LeMat-Bulk.

Structure (CIF):
```
data_YZnCo3
_chemical_formula_sum 'Y1 Zn1 Co3'
_cell_length_a 4.639
_cell_length_b 4.639
_cell_length_c 4.639
_cell_angle_alpha 90.00
_cell_angle_beta 90.00
_cell_angle_gamma 90.00
_symmetry_space_group_name_H-M 'P m -3 m'
_symmetry_Int_Tables_number 221
_symmetry_space_group_name_Hall '-P 4 2 3'
loop_
_atom_site_label
_atom_site_fract_x
_atom_site_fract_y
_atom_site_fract_z
Y1 0.000 0.000 0.000
Zn1 0.500 0.500 0.500
Co1 0.000 0.000 0.500
```

Calculated values
DFT formation energy = 1679 meV per atom
total magnetization = 2.5 Bohr magnetons per cell
calculated total energy = -4.132 eV per atom
energy above the lowest structure with this stoichiometry = 1112.6 meV per atom

=====

Record 4
First-principles (PBE-GGA) data for a geometry-optimized YZnCo2 structure, as listed in Alexandria via LeMat-Bulk.

Structure (CIF):
```
data_YZnCo2
_chemical_formula_sum 'Y4 Zn4 Co8'
_cell_length_a 6.362
_cell_length_b 6.362
_cell_length_c 6.362
_cell_angle_alpha 90.00
_cell_angle_beta 90.00
_cell_angle_gamma 90.00
_symmetry_space_group_name_H-M 'F -4 3 m'
_symmetry_Int_Tables_number 216
_symmetry_space_group_name_Hall 'F -4 2 3'
loop_
_atom_site_label
_atom_site_fract_x
_atom_site_fract_y
_atom_site_fract_z
Y1 0.000 0.000 0.000
Zn1 0.250 0.250 0.250
Co1 0.000 0.000 0.500
Co2 0.250 0.250 0.750
```

Calculated values
DFT formation energy = 128 meV per atom
total magnetization = 11.0 Bohr magnetons per cell
calculated total energy = -5.360 eV per atom

=====

Record 5
First-principles (PBE-GGA) data for a geometry-optimized YZnCo2 structure, as listed in Alexandria via LeMat-Bulk.

Structure (CIF):
```
data_YZnCo2
_chemical_formula_sum 'Y3 Zn3 Co6'
_cell_length_a 4.0537
_cell_length_b 4.0537
_cell_length_c 14.4989
_cell_angle_alpha 90.00
_cell_angle_beta 90.00
_cell_angle_gamma 120.00
_symmetry_space_group_name_H-M 'R 3 m'
_symmetry_Int_Tables_number 160
_symmetry_space_group_name_Hall 'R 3 -2"'
loop_
_atom_site_label
_atom_site_fract_x
_atom_site_fract_y
_atom_site_fract_z
Y1 0.0000 0.0000 0.0000
Zn1 0.0000 0.0000 0.8007
Co1 0.0000 0.0000 0.2022
Co2 0.0000 0.0000 0.5311
```

Calculated values
DFT formation energy = -165 meV per atom
total magnetization = 7.0 Bohr magnetons per cell
calculated total energy = -5.653 eV per atom

=====

Record 6
First-principles (PBE-GGA) data for a geometry-optimized Y2Zn2Co structure, as listed in Alexandria via LeMat-Bulk.

Structure (CIF):
```
data_Y2Zn2Co
_chemical_formula_sum 'Y4 Zn4 Co2'
_cell_length_a 3.476
_cell_length_b 3.476
_cell_length_c 17.597
_cell_angle_alpha 90.00
_cell_angle_beta 90.00
_cell_angle_gamma 90.00
_symmetry_space_group_name_H-M 'I 4/m m m'
_symmetry_Int_Tables_number 139
_symmetry_space_group_name_Hall '-I 4 2'
loop_
_atom_site_label
_atom_site_fract_x
_atom_site_fract_y
_atom_site_fract_z
Y1 0.000 0.000 0.092
Zn1 0.000 0.500 0.250
Co1 0.000 0.000 0.500
```

Calculated values
DFT formation energy = -30 meV per atom
total magnetization = 0.8 Bohr magnetons per cell
calculated total energy = -4.546 eV per atom
energy above the lowest structure with this stoichiometry = 254.5 meV per atom

=====

Record 7
First-principles (PBE-GGA) data for a geometry-optimized YZnCo2 structure, as listed in Alexandria via LeMat-Bulk.

Structure (CIF):
```
data_YZnCo2
_chemical_formula_sum 'Y3 Zn3 Co6'
_cell_length_a 4.1586
_cell_length_b 4.1586
_cell_length_c 13.9757
_cell_angle_alpha 90.00
_cell_angle_beta 90.00
_cell_angle_gamma 120.00
_symmetry_space_group_name_H-M 'R -3 m'
_symmetry_Int_Tables_number 166
_symmetry_space_group_name_Hall '-R 3 2"'
loop_
_atom_site_label
_atom_site_fract_x
_atom_site_fract_y
_atom_site_fract_z
Y1 0.0000 0.0000 0.0000
Zn1 0.0000 0.0000 0.5000
Co1 0.0000 0.0000 0.1888
```

Calculated values
DFT formation energy = -115 meV per atom
total magnetization = 5.6 Bohr magnetons per cell
calculated total energy = -5.603 eV per atom

=====

Record 8
First-principles (PBE-GGA) data for a geometry-optimized YZn12Co4 structure, as listed in Alexandria via LeMat-Bulk.

Structure (CIF):
```
data_YZn12Co4
_chemical_formula_sum 'Y2 Zn24 Co8'
_cell_length_a 8.387
_cell_length_b 8.387
_cell_length_c 8.387
_cell_angle_alpha 90.00
_cell_angle_beta 90.00
_cell_angle_gamma 90.00
_symmetry_space_group_name_H-M 'I m -3'
_symmetry_Int_Tables_number 204
_symmetry_space_group_name_Hall '-I 2 2 3'
loop_
_atom_site_label
_atom_site_fract_x
_atom_site_fract_y
_atom_site_fract_z
Y1 0.000 0.000 0.000
Zn1 0.000 0.346 0.167
Co1 0.250 0.250 0.250
```

Calculated values
DFT formation energy = 288 meV per atom
total magnetization = 0.0 Bohr magnetons per cell
calculated total energy = -2.663 eV per atom

=====

Record 9
First-principles (PBE-GGA) data for a geometry-optimized YZnCo2 structure, as listed in Alexandria via LeMat-Bulk.

Structure (CIF):
```
data_YZnCo2
_chemical_formula_sum 'Y1 Zn1 Co2'
_cell_length_a 3.104
_cell_length_b 3.104
_cell_length_c 6.674
_cell_angle_alpha 90.00
_cell_angle_beta 90.00
_cell_angle_gamma 90.00
_symmetry_space_group_name_H-M 'P 4 m m'
_symmetry_Int_Tables_number 99
loop_
_symmetry_equiv_pos_as_xyz
'x,y,z'
'-y,x,z'
'-x,-y,z'
'y,-x,z'
'-x,y,z'
'y,x,z'
'x,-y,z'
'-y,-x,z'
loop_
_atom_site_label
_atom_site_fract_x
_atom_site_fract_y
_atom_site_fract_z
Y1 0.000 0.000 0.000
Zn1 0.500 0.500 0.329
Co1 0.000 0.000 0.544
Co2 0.500 0.500 0.707
```

Calculated values
DFT formation energy = 13 meV per atom
total magnetization = 3.0 Bohr magnetons per cell
calculated total energy = -5.475 eV per atom

=====

Record 10
First-principles (PBE-GGA) data for a geometry-optimized Y2ZnCo structure, as listed in Alexandria via LeMat-Bulk.

Structure (CIF):
```
data_Y2ZnCo
_chemical_formula_sum 'Y4 Zn2 Co2'
_cell_length_a 5.822
_cell_length_b 4.058
_cell_length_c 7.888
_cell_angle_alpha 90.00
_cell_angle_beta 111.00
_cell_angle_gamma 90.00
_symmetry_space_group_name_H-M 'P 1 21/m 1'
_symmetry_Int_Tables_number 11
loop_
_symmetry_equiv_pos_as_xyz
'x,y,z'
'-x,-y,-z'
'-x,y+1/2,-z'
'x,-y+1/2,z'
loop_
_atom_site_label
_atom_site_fract_x
_atom_site_fract_y
_atom_site_fract_z
Y1 0.211 0.250 0.442
Y2 0.223 0.250 0.915
Zn1 0.356 0.750 0.216
Co1 0.360 0.750 0.718
```

Calculated values
DFT formation energy = -253 meV per atom
total magnetization = 0.0 Bohr magnetons per cell
calculated total energy = -5.580 eV per atom

=====

Record 11
First-principles (PBE-GGA) data for a geometry-optimized YZn2Co structure, as listed in Alexandria via LeMat-Bulk.

Structure (CIF):
```
data_YZn2Co
_chemical_formula_sum 'Y2 Zn4 Co2'
_cell_length_a 7.307
_cell_length_b 4.221
_cell_length_c 5.286
_cell_angle_alpha 90.00
_cell_angle_beta 117.54
_cell_angle_gamma 90.00
_symmetry_space_group_name_H-M 'C 1 m 1'
_symmetry_Int_Tables_number 8
loop_
_symmetry_equiv_pos_as_xyz
'x,y,z'
'x,-y,z'
'x+1/2,y+1/2,z'
'x+1/2,-y+1/2,z'
loop_
_atom_site_label
_atom_site_fract_x
_atom_site_fract_y
_atom_site_fract_z
Y1 0.000 0.000 0.000
Zn1 0.203 0.000 0.609
Zn2 0.475 0.000 0.427
Co1 0.300 0.500 0.402
```

Calculated values
DFT formation energy = -178 meV per atom
total magnetization = 0.0 Bohr magnetons per cell
calculated total energy = -4.207 eV per atom

=====

Record 12
First-principles (PBE-GGA) data for a geometry-optimized Y3Zn2Co structure, as listed in Alexandria via LeMat-Bulk.

Structure (CIF):
```
data_Y3Zn2Co
_chemical_formula_sum 'Y12 Zn8 Co4'
_cell_length_a 11.846
_cell_length_b 4.356
_cell_length_c 10.531
_cell_angle_alpha 90.00
_cell_angle_beta 90.00
_cell_angle_gamma 90.00
_symmetry_space_group_name_H-M 'P n m a'
_symmetry_Int_Tables_number 62
loop_
_symmetry_equiv_pos_as_xyz
'x,y,z'
'-x,-y,-z'
'-x+1/2,-y,z+1/2'
'x+1/2,y,-z+1/2'
'x+1/2,-y+1/2,-z+1/2'
'-x+1/2,y+1/2,z+1/2'
'-x,y+1/2,-z'
'x,-y+1/2,z'
loop_
_atom_site_label
_atom_site_fract_x
_atom_site_fract_y
_atom_site_fract_z
Y1 0.055 0.250 0.118
Y2 0.109 0.750 0.558
Y3 0.236 0.250 0.790
Zn1 0.012 0.750 0.299
Zn2 0.204 0.750 0.995
Co1 0.118 0.250 0.368
```

Calculated values
DFT formation energy = -277 meV per atom
total magnetization = 0.0 Bohr magnetons per cell
calculated total energy = -5.118 eV per atom